# 1
Nd2ZnH: relaxed, PBE.

abc: 3.4491 3.4491 9.5758
angles: 79.62 79.62 60.00
With the nearest neighbours (Å) after each atom.
Sites, in units of the cell vectors:
1 H 0.5000 0.5000 0.5000  6 Nd 2.52
2 Zn 0.0000 0.0000 0.0000  2 Nd 3.13, 6 Zn 3.45
3 Nd 0.1114 0.1114 0.6657  3 H 2.52
4 Nd 0.8886 0.8886 0.3343  3 H 2.52

## Properties
- symmetry = R-3m (166)
- polymorph energy (0 for the lowest one) (eV per formula unit) = 1.16

=====

# 2
Nd3Zr5H12: relaxed, PBE.

abc: 10.9550 10.9550 10.9550
angles: 109.47 109.47 109.47
With the nearest neighbours (Å) after each atom.
Sites, in units of the cell vectors:
1 Nd 0.7500 0.3750 0.1250  8 H 2.32-2.39
2 Nd 0.8750 0.7500 0.1250  8 H 2.32-2.39
3 Nd 0.3750 0.7500 0.6250  8 H 2.32-2.39
4 Nd 0.2500 0.1250 0.3750  8 H 2.32-2.39
5 Nd 0.8750 0.1250 0.2500  8 H 2.32-2.39
6 Nd 0.3750 0.6250 0.2500  8 H 2.32-2.39
7 Nd 0.6250 0.3750 0.7500  8 H 2.32-2.39
8 Nd 0.1250 0.8750 0.7500  8 H 2.32-2.39
9 Nd 0.7500 0.8750 0.6250  8 H 2.32-2.39
10 Nd 0.6250 0.2500 0.3750  8 H 2.32-2.39
11 Nd 0.1250 0.2500 0.8750  8 H 2.32-2.39
12 Nd 0.2500 0.6250 0.8750  8 H 2.32-2.39
13 Zr 0.1250 0.3750 0.2500  4 H 2.05
14 Zr 0.0000 0.5000 0.0000  6 H 2.06
15 Zr 0.0000 0.0000 0.0000  6 H 2.06
16 Zr 0.3750 0.2500 0.1250  4 H 2.05
17 Zr 0.5000 0.0000 0.5000  6 H 2.06
18 Zr 0.5000 0.5000 0.0000  6 H 2.06
19 Zr 0.1250 0.7500 0.3750  4 H 2.05
20 Zr 0.7500 0.1250 0.8750  4 H 2.05
21 Zr 0.7500 0.6250 0.3750  4 H 2.05
22 Zr 0.3750 0.1250 0.7500  4 H 2.05
23 Zr 0.6250 0.8750 0.2500  4 H 2.05
24 Zr 0.5000 0.5000 0.5000  6 H 2.06
25 Zr 0.5000 0.0000 0.0000  6 H 2.06
26 Zr 0.0000 0.0000 0.5000  6 H 2.06
27 Zr 0.2500 0.3750 0.6250  4 H 2.05
28 Zr 0.2500 0.8750 0.1250  4 H 2.05
29 Zr 0.0000 0.5000 0.5000  6 H 2.06
30 Zr 0.8750 0.2500 0.6250  4 H 2.05
31 Zr 0.6250 0.7500 0.8750  4 H 2.05
32 Zr 0.8750 0.6250 0.7500  4 H 2.05
33 H 0.7128 0.1347 0.0487  2 Zr 2.05-2.06
34 H 0.3359 0.5487 0.4140  2 Zr 2.05-2.06
35 H 0.9513 0.3653 0.2872  2 Zr 2.05-2.06
36 H 0.5487 0.2128 0.1347  2 Zr 2.05-2.06
37 H 0.5781 0.7128 0.6641  2 Zr 2.05-2.06
38 H 0.9513 0.5860 0.1641  2 Zr 2.05-2.06
39 H 0.3359 0.7872 0.4219  2 Zr 2.05-2.06
40 H 0.0860 0.9219 0.1347  2 Zr 2.05-2.06
41 H 0.5860 0.9513 0.6641  2 Zr 2.05-2.06
42 H 0.7128 0.5781 0.1641  2 Zr 2.05-2.06
43 H 0.7872 0.4513 0.3653  2 Zr 2.05-2.06
44 H 0.8359 0.9140 0.0487  2 Zr 2.05-2.06
45 H 0.1347 0.7128 0.5487  2 Zr 2.05-2.06
46 H 0.3653 0.4140 0.0781  2 Zr 2.05-2.06
47 H 0.0781 0.9140 0.3653  2 Zr 2.05-2.06
48 H 0.4219 0.1347 0.5860  2 Zr 2.05-2.06
49 H 0.0781 0.1641 0.2128  2 Zr 2.05-2.06
50 H 0.4513 0.6641 0.0860  2 Zr 2.05-2.06
51 H 0.8359 0.9219 0.2872  2 Zr 2.05-2.06
52 H 0.1347 0.4219 0.0860  2 Zr 2.05-2.06
53 H 0.3653 0.9513 0.7872  2 Zr 2.05-2.06
54 H 0.5860 0.6347 0.4219  2 Zr 2.05-2.06
55 H 0.9140 0.8359 0.5487  2 Zr 2.05-2.06
56 H 0.7872 0.3359 0.9219  2 Zr 2.05-2.06
57 H 0.4140 0.3653 0.5781  2 Zr 2.05-2.06
58 H 0.0860 0.1641 0.4513  2 Zr 2.05-2.06
59 H 0.2128 0.6641 0.0781  2 Zr 2.05-2.06
60 H 0.1641 0.0781 0.7128  2 Zr 2.05-2.06
61 H 0.6347 0.0487 0.2128  2 Zr 2.05-2.06
62 H 0.8653 0.5781 0.9140  2 Zr 2.05-2.06
63 H 0.5487 0.3359 0.9140  2 Zr 2.05-2.06
64 H 0.5781 0.8653 0.4140  2 Zr 2.05-2.06
65 H 0.9219 0.8359 0.7872  2 Zr 2.05-2.06
66 H 0.9219 0.0860 0.6347  2 Zr 2.05-2.06
67 H 0.8653 0.2872 0.4513  2 Zr 2.05-2.06
68 H 0.1641 0.0860 0.9513  2 Zr 2.05-2.06
69 H 0.6347 0.5860 0.9219  2 Zr 2.05-2.06
70 H 0.4140 0.0487 0.3359  2 Zr 2.05-2.06
71 H 0.2872 0.4219 0.8359  2 Zr 2.05-2.06
72 H 0.2128 0.5487 0.6347  2 Zr 2.05-2.06
73 H 0.9140 0.0781 0.8653  2 Zr 2.05-2.06
74 H 0.6641 0.2128 0.5781  2 Zr 2.05-2.06
75 H 0.4513 0.7872 0.8653  2 Zr 2.05-2.06
76 H 0.0487 0.4140 0.8359  2 Zr 2.05-2.06
77 H 0.4219 0.2872 0.3359  2 Zr 2.05-2.06
78 H 0.0487 0.6347 0.7128  2 Zr 2.05-2.06
79 H 0.6641 0.4513 0.5860  2 Zr 2.05-2.06
80 H 0.2872 0.8653 0.9513  2 Zr 2.05-2.06

## Properties
- symmetry = Ia-3d (230)
- E (eV/atom) = -5.278

=====

Number 1: total moment 0.0 μB per formula unit. Number 2: total moment 0.0 μB per formula unit.